[1]
Computed, not measured: a relaxed structure of DyThTlCd at the GGA-PBE level of DFT.

a b c (Å): 5.4093 5.4093 5.4093
angles (deg): 60.00 60.00 60.00
Fractional positions:
Dy  0.0000  0.0000  0.0000
Th  0.5000  0.5000  0.5000
Tl  0.7500  0.7500  0.7500
Cd  0.2500  0.2500  0.2500

* DFT total energy: -4.0214 eV/atom
* DOS(E_F): 3.7 states/eV/f.u.
* crystal system: cubic
* energy relative to the elements: -0.196 eV per atom
* calculated volume: 111.9 Å³/f.u.



[2]
Computed, not measured: a relaxed structure of NbB2Sb at the GGA-PBE level of DFT.

a b c (Å): 6.0944 6.0944 6.0944
angles (deg): 127.54 127.54 77.38
Fractional positions:
Nb  0.0000  0.0000  0.0000
Nb  0.7500  0.2500  0.5000
B  0.1159  0.6250  0.9909
B  0.3750  0.3659  0.4909
B  0.6341  0.1250  0.0091
B  0.8750  0.8841  0.5091
Sb  0.2500  0.7500  0.5000
Sb  0.5000  0.5000  0.0000

* DFT total energy: -6.1603 eV/atom
* DOS(E_F): 1.6 states/eV/f.u.
* E_form (uncorrected): 0.727 eV/atom
* crystal system: tetragonal
* calculated volume: 69.0 Å³/f.u.



[3]
Computed, not measured: a relaxed structure of SeICl at the GGA-PBE level of DFT.

a b c (Å): 5.2242 6.3614 7.9296
angles (deg): 78.57 87.01 85.41
Fractional positions:
Se  0.0360  0.4157  0.1480
Se  0.9640  0.5843  0.8520
I  0.1930  0.7572  0.2275
I  0.8070  0.2428  0.7725
Cl  0.3542  0.1559  0.3097
Cl  0.6458  0.8441  0.6903

* DFT total energy: -2.3730 eV/atom
* E_form (uncorrected): -0.079 eV/atom
* crystal system: triclinic
* calculated volume: 128.6 Å³/f.u.



[4]
Computed, not measured: a relaxed structure of Cs2RbAgHg at the GGA-PBE level of DFT.

a b c (Å): 7.1283 7.1283 6.8609
angles (deg): 90.00 90.00 90.00
Fractional positions:
Cs  0.0000  0.5000  0.0000
Cs  0.5000  0.0000  0.0000
Rb  0.0000  0.0000  0.5000
Ag  0.0000  0.0000  0.0000
Hg  0.5000  0.5000  0.5000

* DFT total energy: -1.1072 eV/atom
* DOS(E_F): 7.1 states/eV/f.u.
* crystal system: tetragonal
* energy relative to the elements: 0.058 eV per atom
* calculated volume: 348.6 Å³/f.u.



[5]
Computed, not measured: a relaxed structure of CdReHg2 at the GGA-PBE level of DFT.

a b c (Å): 11.4166 11.4166 11.4166
angles (deg): 14.67 14.67 14.67
Fractional positions:
Cd  0.0000  0.0000  0.0000
Re  0.2620  0.2620  0.2620
Hg  0.5222  0.5222  0.5222
Hg  0.7582  0.7582  0.7582

* DFT total energy: -2.9157 eV/atom
* DOS(E_F): 3.6 states/eV/f.u.
* crystal system: trigonal
* energy relative to the elements: 0.576 eV per atom
* calculated volume: 83.1 Å³/f.u.



[6]
Computed, not measured: a relaxed structure of Ni7Sn2As2Pd at the GGA-PBE level of DFT.

a b c (Å): 3.5998 3.5998 14.8926
angles (deg): 96.84 96.84 90.01
Fractional positions:
Ni  0.0000  0.0000  0.0000
Ni  0.0634  0.5638  0.1288
Ni  0.1936  0.1936  0.3857
Ni  0.4362  0.9366  0.8712
Ni  0.5638  0.0634  0.1288
Ni  0.8064  0.8064  0.6143
Ni  0.9366  0.4362  0.8712
Sn  0.2866  0.2866  0.5737
Sn  0.7134  0.7134  0.4263
As  0.1138  0.1138  0.2293
As  0.8862  0.8862  0.7707
Pd  0.5000  0.5000  0.0000

* DFT total energy: -5.3491 eV/atom
* DOS(E_F): 9.8 states/eV/f.u.
* crystal system: monoclinic
* energy relative to the elements: -0.102 eV per atom
* calculated volume: 190.2 Å³/f.u.